# 1
Compound: PaMo6
Source: the Alexandria database
Functional: PBE
Structure: optimized geometry

Calculated values
formation enthalpy at 0 K	1628	meV/atom
magnetization	1.35	μB per formula unit

a b c (Å): 5.9555 5.9555 5.9555
angles (deg): 109.47 109.47 109.47
Site moments in Bohr magnetons follow the coordinates.
Atoms (fractional coordinates):
Mo1 0.5000 0.7500 0.2500  0.00
Mo2 0.7500 0.5000 0.2500  0.00
Mo3 0.7500 0.2500 0.5000  0.00
Mo4 0.2500 0.7500 0.5000  0.00
Mo5 0.2500 0.5000 0.7500  0.00
Mo6 0.5000 0.2500 0.7500  0.00
Pa1 0.0000 0.0000 0.0000  1.11

# 2
Compound: Al3Zn4
Source: the Alexandria database
Functional: PBE
Structure: optimized geometry

Calculated values
formation enthalpy at 0 K	32	meV/atom
magnetization	0.00	μB per formula unit

a b c (Å): 4.9067 7.4820 3.9949
angles (deg): 107.66 116.31 104.86
Atoms (fractional coordinates):
Zn1 0.1441 0.4300 0.2867
Zn2 0.2819 0.8543 0.5672
Zn3 0.8559 0.5700 0.7133
Zn4 0.7181 0.1457 0.4328
Al1 0.5690 0.7144 0.1382
Al2 0.0000 0.0000 0.0000
Al3 0.4310 0.2856 0.8618

Number 1: D(E_F) 12.5 states/eV/cell. Number 2: D(E_F) 1.6 states/eV/cell.